# 1
Below is crystalline Cr2Ni3Rh3 at its relaxed geometry, with properties calculated at the GGA-PBE level.

Cell: 3.773 4.567 12.780 Å, 90.00 90.00 114.39°
Fractional coordinates of all 16 atoms:
Cr1 0.766 0.532 0.845
Cr2 0.234 0.468 0.345
Cr3 0.766 0.532 0.655
Cr4 0.234 0.468 0.155
Ni1 0.955 0.909 0.409
Ni2 0.045 0.091 0.909
Ni3 0.955 0.909 0.091
Ni4 0.045 0.091 0.591
Ni5 0.832 0.664 0.250
Ni6 0.168 0.336 0.750
Rh1 0.649 0.298 0.461
Rh2 0.351 0.702 0.961
Rh3 0.649 0.298 0.039
Rh4 0.351 0.702 0.539
Rh5 0.538 0.076 0.250
Rh6 0.462 0.924 0.750

Total DFT energy (no corrections): -0.53302 Ry/atom
Relative energy among the computed polymorphs: 137 meV per atom
Energy relative to the elements: 0.079 eV/atom
D(E_F): 1.43 states/eV/atom
Space-group type: Cmcm, No. 63
V: 12.53 Å³ per atom

=====

# 2
Below is crystalline CrNiRh2 at its relaxed geometry, with properties calculated at the GGA-PBE level.

Cell: 4.468 4.468 2.734 Å, 90.00 90.00 106.36°
Site moments in Bohr magnetons follow the coordinates.
Fractional coordinates of all 4 atoms:
Ni1 0.000 0.500 0.500  -0.09
Rh1 0.000 0.000 0.000  -0.14
Rh2 0.500 0.500 0.000  -0.14
Cr1 0.500 0.000 0.500  2.13

Total DFT energy (no corrections): -0.55370 Ry/atom
Energy relative to the elements: -0.007 eV/atom
D(E_F): 1.45 states/eV/atom
Space-group type: Cmmm, No. 65
V: 13.09 Å³ per atom